1.
First-principles (PBE-GGA) data for a relaxed structure of Tb2RhSe, as listed in Alexandria via LeMat-Bulk.

Geometry as POSCAR:
```
Tb2RhSe
1.0
1.9873 1.1474 7.1812
-1.9873 1.1474 7.1812
0.0000 -2.2948 7.1812
Tb Rh Se
2 1 1
Direct
0.0000 0.0000 0.0000
0.1845 0.1845 0.1845
0.5914 0.5914 0.5914
0.4254 0.4254 0.4254
```

## Properties
Energy above the lowest structure with this stoichiometry in kJ/mol of formula units: 35
Formation energy from raw total energies in eV per formula unit: -4.8
Mass density in g/cm³: 8.4
VASP energy in eV/atom: -6.2295

=====

2.
First-principles (PBE-GGA) data for a relaxed structure of Tb2ZrTe4, as listed in Alexandria via LeMat-Bulk.

Geometry as POSCAR:
```
Tb2ZrTe4
1.0
7.8106 -2.1402 0.0000
7.8106 2.1402 0.0000
-3.5950 0.0000 6.6542
Tb Zr Te
2 1 4
Direct
0.2505 0.2505 0.2358
0.7495 0.7495 0.7642
0.0000 0.0000 0.0000
0.1131 0.1131 0.7821
0.3812 0.3812 0.7111
0.6188 0.6188 0.2889
0.8869 0.8869 0.2179
```

## Properties
Formation energy from raw total energies in eV per formula unit: -8.4
Mass density in g/cm³: 6.9
VASP energy in eV/atom: -5.5394

=====

3.
First-principles (PBE-GGA) data for a relaxed structure of ScNi4B, as listed in Alexandria via LeMat-Bulk.

Geometry as POSCAR:
```
ScNi4B
1.0
2.0000 -6.7064 0.0000
2.0000 6.7064 0.0000
0.0000 0.0000 5.3211
Sc Ni B
2 8 2
Direct
0.1058 0.8942 0.7500
0.8942 0.1058 0.2500
0.1199 0.8801 0.2500
0.2977 0.7023 0.0036
0.2977 0.7023 0.4964
0.5000 0.5000 0.0000
0.5000 0.5000 0.5000
0.7023 0.2977 0.5036
0.7023 0.2977 0.9964
0.8801 0.1199 0.7500
0.3959 0.6041 0.7500
0.6041 0.3959 0.2500
```

## Properties
Mass density in g/cm³: 6.8
VASP energy in eV/atom: -6.3805
ΔE_f in meV per atom: -358.2

=====

4.
First-principles (PBE-GGA) data for a relaxed structure of Pr3Tm4Sc, as listed in Alexandria via LeMat-Bulk.

Geometry as POSCAR:
```
Pr3Tm4Sc
1.0
11.3072 0.0000 0.0000
0.0000 7.2558 0.0000
0.0000 0.0000 6.2141
Pr Tm Sc
6 8 2
Direct
0.0000 0.1285 0.0000
0.2501 0.1250 0.3351
0.2499 0.8750 0.8351
0.5000 0.8715 0.5000
0.7499 0.1250 0.3351
0.7501 0.8750 0.8351
0.0000 0.3796 0.5030
0.0000 0.6217 0.0014
0.2444 0.6220 0.3387
0.2556 0.3780 0.8387
0.5000 0.3783 0.5014
0.5000 0.6204 0.0030
0.7444 0.3780 0.8387
0.7556 0.6220 0.3387
0.0000 0.8666 0.4959
0.5000 0.1334 0.9959
```

## Properties
Energy above the lowest structure with this stoichiometry in kJ/mol of formula units: 0
Mass density in g/cm³: 7.4
VASP energy in eV/atom: -4.7855
ΔE_f in meV per atom: 34.1

=====

5.
First-principles (PBE-GGA) data for a relaxed structure of As2SeBrCl, as listed in Alexandria via LeMat-Bulk.

Geometry as POSCAR:
```
As2SeBrCl
1.0
5.1025 0.0000 0.0000
0.0000 5.1025 0.0000
0.0000 0.0000 4.9679
As Se Br Cl
2 1 1 1
Direct
0.0000 0.5000 0.0000
0.5000 0.0000 0.0000
0.0000 0.0000 0.5000
0.5000 0.5000 0.5000
0.5000 0.5000 0.0000
```

## Properties
Energy above the lowest structure with this stoichiometry in kJ/mol of formula units: 184
Formation energy from raw total energies in eV per formula unit: 5.3
Mass density in g/cm³: 4.4
VASP energy in eV/atom: -2.2059

=====

6.
First-principles (PBE-GGA) data for a relaxed structure of YCr2In, as listed in Alexandria via LeMat-Bulk.

Geometry as POSCAR:
```
YCr2In
1.0
1.6364 0.9448 9.3326
-1.6364 0.9448 9.3326
0.0000 -1.8896 9.3326
Y Cr In
1 2 1
Direct
0.0000 0.0000 0.0000
0.2461 0.2461 0.2461
0.7539 0.7539 0.7539
0.5000 0.5000 0.5000
```

## Properties
Mass density in g/cm³: 5.9
VASP energy in eV/atom: -6.4669
ΔE_f in meV per atom: 645.4

=====

7.
First-principles (PBE-GGA) data for a relaxed structure of Nb4W, as listed in Alexandria via LeMat-Bulk.

Geometry as POSCAR:
```
Nb4W
1.0
-2.8023 2.8023 3.1906
2.8023 -2.8023 3.1906
2.8023 2.8023 -3.1906
Nb W
4 1
Direct
0.0449 0.6428 0.0000
0.3572 0.3572 0.4021
0.6428 0.0449 0.0000
0.9551 0.9551 0.5979
0.5000 0.5000 0.0000
```

## Properties
Energy above the lowest structure with this stoichiometry in kJ/mol of formula units: 119
Mass density in g/cm³: 9.2
VASP energy in eV/atom: -9.9517
ΔE_f in meV per atom: 694.7

=====

8.
First-principles (PBE-GGA) data for a relaxed structure of FeCo6Ni8, as listed in Alexandria via LeMat-Bulk.

Geometry as POSCAR:
```
FeCo6Ni8
1.0
3.1011 1.7904 5.0167
-3.1011 1.7904 5.0167
0.0000 -3.5808 5.0167
Fe Co Ni
1 6 8
Direct
0.0000 0.0000 0.0000
0.0643 0.5371 0.2760
0.2760 0.0643 0.5371
0.4629 0.7240 0.9357
0.5371 0.2760 0.0643
0.7240 0.9357 0.4629
0.9357 0.4629 0.7240
0.1190 0.6637 0.8147
0.1853 0.8810 0.3362
0.3362 0.1853 0.8810
0.4204 0.4204 0.4204
0.5796 0.5796 0.5796
0.6637 0.8147 0.1190
0.8147 0.1190 0.6637
0.8810 0.3362 0.1853
```

## Properties
Energy above the lowest structure with this stoichiometry in kJ/mol of formula units: 0
Mass density in g/cm³: 8.7
VASP energy in eV/atom: -6.4345
ΔE_f in meV per atom: 55.4

=====

9.
First-principles (PBE-GGA) data for a relaxed structure of BaPdS, as listed in Alexandria via LeMat-Bulk.

Geometry as POSCAR:
```
BaPdS
1.0
9.5459 0.0000 0.0000
0.0000 4.1314 0.0000
0.0000 0.0000 8.1553
Ba Pd S
4 4 4
Direct
0.2033 0.2500 0.0046
0.2967 0.7500 0.5046
0.7033 0.2500 0.4954
0.7967 0.7500 0.9954
0.0243 0.2500 0.3837
0.4757 0.7500 0.8837
0.5243 0.2500 0.1163
0.9757 0.7500 0.6163
0.0575 0.7500 0.2324
0.4425 0.2500 0.7324
0.5575 0.7500 0.2676
0.9425 0.2500 0.7676
```

## Properties
Formation energy from raw total energies in eV per formula unit: -3.4
Mass density in g/cm³: 5.7
VASP energy in eV/atom: -4.8700

=====

10.
First-principles (PBE-GGA) data for a relaxed structure of Sm2SnAu, as listed in Alexandria via LeMat-Bulk.

Geometry as POSCAR:
```
Sm2SnAu
1.0
6.2413 0.0000 0.0000
0.0000 4.5409 0.0000
-2.9973 0.0000 7.8351
Sm Sn Au
4 2 2
Direct
0.2086 0.2500 0.4379
0.2233 0.2500 0.9169
0.7767 0.7500 0.0831
0.7914 0.7500 0.5621
0.3268 0.7500 0.2079
0.6732 0.2500 0.7921
0.3326 0.7500 0.7045
0.6674 0.2500 0.2955
```

## Properties
Mass density in g/cm³: 9.2
VASP energy in eV/atom: -4.9458
ΔE_f in meV per atom: -766.2